[1]
Entry from the Alexandria database: an optimized crystal structure of VMoPt (PBE).

## Properties
As for the theoretical density: 12.66 g/cm3. The calculation puts the total DFT energy (no corrections) at -8.94 eV per atom. For the distance to the lowest polymorph of the same formula, the calculation gives 0.07 kcal/mol of atoms. The calculation puts the density of states at the Fermi level at 1.71 states/eV/cell.

Structure (POSCAR):
```
VMoPt
1.0
-1.346 1.346 6.190
1.346 -1.346 6.190
1.346 1.346 -6.190
V Mo Pt
1 1 1
Direct
0.000 0.000 0.000 V
0.672 0.672 0.000 Mo
0.344 0.344 0.000 Pt
```

---

[2]
Entry from the Alexandria database: an optimized crystal structure of K2AgIr (PBE).

## Properties
As for the theoretical density: 6.46 g/cm3. The calculation puts the total DFT energy (no corrections) at -2.75 eV per atom. For the distance to the lowest polymorph of the same formula, the calculation gives 4.71 kcal/mol of atoms. The calculation puts the density of states at the Fermi level at 6.77 states/eV/cell.

Structure (POSCAR):
```
K2AgIr
1.0
-2.583 2.583 3.642
2.583 -2.583 3.642
2.583 2.583 -3.642
K Ag Ir
2 1 1
Direct
0.000 0.000 0.000 K
0.750 0.250 0.500 K
0.500 0.500 0.000 Ag
0.250 0.750 0.500 Ir
```

---

[3]
Entry from the Alexandria database: an optimized crystal structure of Ag2TePb (PBE).

## Properties
As for the theoretical density: 9.32 g/cm3. The calculation puts the total DFT energy (no corrections) at -3.04 eV per atom. For the distance to the lowest polymorph of the same formula, the calculation gives 1.20 kcal/mol of atoms. The calculation puts the density of states at the Fermi level at 1.21 states/eV/cell.

Structure (POSCAR):
```
Ag2TePb
1.0
-2.362 2.362 4.395
2.362 -2.362 4.395
2.362 2.362 -4.395
Ag Te Pb
2 1 1
Direct
0.250 0.750 0.500 Ag
0.750 0.250 0.500 Ag
0.000 0.000 0.000 Te
0.500 0.500 0.000 Pb
```

---

[4]
Entry from the Alexandria database: an optimized crystal structure of KMn2P (PBE).

## Properties
As for the theoretical density: 3.72 g/cm3. The calculation puts the total DFT energy (no corrections) at -5.25 eV per atom. The calculation puts the density of states at the Fermi level at 3.00 states/eV/cell.

Structure (POSCAR):
```
KMn2P
1.0
2.968 -4.927 0.000
2.968 4.927 0.000
0.000 0.000 2.744
K Mn P
1 2 1
Direct
0.000 0.000 0.000 K
0.000 0.500 0.500 Mn
0.500 0.000 0.500 Mn
0.500 0.500 0.000 P
```

---

[5]
Entry from the Alexandria database: an optimized crystal structure of AcIr (PBE).

## Properties
As for the theoretical density: 13.10 g/cm3. The calculation puts the total DFT energy (no corrections) at -7.07 eV per atom. The calculation puts the density of states at the Fermi level at 1.13 states/eV/cell.

Structure (POSCAR):
```
AcIr
1.0
4.207 0.000 0.000
0.000 4.363 0.000
-2.097 0.000 5.788
Ac Ir
2 2
Direct
0.141 0.250 0.281 Ac
0.859 0.750 0.719 Ac
0.423 0.250 0.846 Ir
0.577 0.750 0.154 Ir
```

---

[6]
Entry from the Alexandria database: an optimized crystal structure of ErTl2Si2O6 (PBE).

## Properties
As for the theoretical density: 6.77 g/cm3. The calculation puts the total DFT energy (no corrections) at -6.75 eV per atom.

Structure (POSCAR):
```
ErTl2Si2O6
1.0
5.119 -2.955 0.000
5.119 2.955 0.000
-3.418 0.000 5.902
Er Tl Si O
1 2 2 6
Direct
0.000 0.000 0.000 Er
0.217 0.217 0.651 Tl
0.783 0.783 0.349 Tl
0.426 0.426 0.277 Si
0.574 0.574 0.723 Si
0.253 0.253 0.221 O
0.254 0.719 0.223 O
0.281 0.746 0.777 O
0.719 0.254 0.223 O
0.746 0.281 0.777 O
0.747 0.747 0.779 O
```

---

[7]
Entry from the Alexandria database: an optimized crystal structure of ZnMoSe2 (PBE).

## Properties
As for the theoretical density: 6.23 g/cm3. The calculation puts the total DFT energy (no corrections) at -4.96 eV per atom. The calculation puts the density of states at the Fermi level at 0.86 states/eV/cell.

Structure (POSCAR):
```
ZnMoSe2
1.0
1.626 0.939 9.281
-1.626 0.939 9.281
0.000 -1.878 9.281
Zn Mo Se
1 1 2
Direct
0.000 0.000 0.000 Zn
0.500 0.500 0.500 Mo
0.229 0.229 0.229 Se
0.771 0.771 0.771 Se
```

---

[8]
Entry from the Alexandria database: an optimized crystal structure of ZrHg2Ir (PBE).

## Properties
As for the theoretical density: 13.56 g/cm3. The calculation puts the total DFT energy (no corrections) at -4.69 eV per atom. For the distance to the lowest polymorph of the same formula, the calculation gives 0.00 kcal/mol of atoms. The calculation puts the density of states at the Fermi level at 1.91 states/eV/cell.

Structure (POSCAR):
```
ZrHg2Ir
1.0
3.190 0.000 0.000
0.000 3.477 0.000
0.000 0.000 7.559
Zr Hg Ir
1 2 1
Direct
0.000 0.000 0.000 Zr
0.000 0.000 0.571 Hg
0.500 0.500 0.281 Hg
0.500 0.500 0.822 Ir
```

---

[9]
Entry from the Alexandria database: an optimized crystal structure of TlOsBr2 (PBE).

## Properties
As for the theoretical density: 9.33 g/cm3. The calculation puts the total DFT energy (no corrections) at -3.38 eV per atom. For the distance to the lowest polymorph of the same formula, the calculation gives 13.29 kcal/mol of atoms. The calculation puts the density of states at the Fermi level at 1.72 states/eV/cell.

Structure (POSCAR):
```
TlOsBr2
1.0
3.358 0.000 0.000
0.000 3.358 0.000
0.000 0.000 8.751
Tl Os Br
1 1 2
Direct
0.000 0.000 0.000 Tl
0.000 0.000 0.500 Os
0.500 0.500 0.303 Br
0.500 0.500 0.697 Br
```

---

[10]
Entry from the Alexandria database: an optimized crystal structure of LiMgAl2Se (PBE).

## Properties
As for the theoretical density: 2.09 g/cm3. The calculation puts the total DFT energy (no corrections) at -2.34 eV per atom. The calculation puts the density of states at the Fermi level at 3.68 states/eV/cell.

Structure (POSCAR):
```
LiMgAl2Se
1.0
5.117 0.000 0.000
0.000 5.117 0.000
0.000 0.000 4.990
Li Mg Al Se
1 1 2 1
Direct
0.000 0.000 0.000 Li
0.000 0.000 0.500 Mg
0.000 0.500 0.500 Al
0.500 0.000 0.500 Al
0.500 0.500 0.000 Se
```

---

[11]
Entry from the Alexandria database: an optimized crystal structure of Tb2LuPa (PBE).

## Properties
As for the theoretical density: 9.99 g/cm3. The calculation puts the total DFT energy (no corrections) at -5.46 eV per atom. For the distance to the lowest polymorph of the same formula, the calculation gives 5.11 kcal/mol of atoms. The calculation puts the density of states at the Fermi level at 8.84 states/eV/cell.

Structure (POSCAR):
```
Tb2LuPa
1.0
0.000 3.918 3.918
3.918 0.000 3.918
3.918 3.918 0.000
Tb Lu Pa
2 1 1
Direct
0.250 0.250 0.250 Tb
0.750 0.750 0.750 Tb
0.000 0.000 0.000 Lu
0.500 0.500 0.500 Pa
```

---

[12]
Entry from the Alexandria database: an optimized crystal structure of Pm2Sb4PtRh3 (PBE).

## Properties
As for the theoretical density: 9.74 g/cm3. The calculation puts the total DFT energy (no corrections) at -6.20 eV per atom. The calculation puts the density of states at the Fermi level at 6.14 states/eV/cell.

Structure (POSCAR):
```
Pm2Sb4PtRh3
1.0
4.578 0.000 0.000
0.000 4.578 0.000
0.000 0.000 10.421
Pm Sb Pt Rh
2 4 1 3
Direct
0.000 0.500 0.243 Pm
0.500 0.000 0.757 Pm
0.000 0.000 0.500 Sb
0.000 0.500 0.867 Sb
0.500 0.000 0.133 Sb
0.500 0.500 0.500 Sb
0.500 0.500 0.000 Pt
0.000 0.000 0.000 Rh
0.000 0.500 0.622 Rh
0.500 0.000 0.378 Rh
```

---

Question: The lowest theoretical density belongs to which entry?
Answer: LiMgAl2Se

---

Repeat the seventh record exactly.
Entry from the Alexandria database: an optimized crystal structure of ZnMoSe2 (PBE).

## Properties
As for the theoretical density: 6.23 g/cm3. The calculation puts the total DFT energy (no corrections) at -4.96 eV per atom. The calculation puts the density of states at the Fermi level at 0.86 states/eV/cell.

Structure (POSCAR):
```
ZnMoSe2
1.0
1.626 0.939 9.281
-1.626 0.939 9.281
0.000 -1.878 9.281
Zn Mo Se
1 1 2
Direct
0.000 0.000 0.000 Zn
0.500 0.500 0.500 Mo
0.229 0.229 0.229 Se
0.771 0.771 0.771 Se
```

---

Repeat the twelfth record exactly.
Entry from the Alexandria database: an optimized crystal structure of Pm2Sb4PtRh3 (PBE).

## Properties
As for the theoretical density: 9.74 g/cm3. The calculation puts the total DFT energy (no corrections) at -6.20 eV per atom. The calculation puts the density of states at the Fermi level at 6.14 states/eV/cell.

Structure (POSCAR):
```
Pm2Sb4PtRh3
1.0
4.578 0.000 0.000
0.000 4.578 0.000
0.000 0.000 10.421
Pm Sb Pt Rh
2 4 1 3
Direct
0.000 0.500 0.243 Pm
0.500 0.000 0.757 Pm
0.000 0.000 0.500 Sb
0.000 0.500 0.867 Sb
0.500 0.000 0.133 Sb
0.500 0.500 0.500 Sb
0.500 0.500 0.000 Pt
0.000 0.000 0.000 Rh
0.000 0.500 0.622 Rh
0.500 0.000 0.378 Rh
```

---

Question: The lowest theoretical density belongs to which entry?
Answer: LiMgAl2Se